No. 1
First-principles (PBE-GGA) data for a relaxed Pm3Dy2ThN6 crystal, as listed in Alexandria via LeMat-Bulk.

Summary:
The energy comes out at -8.309 eV per atom. The value obtained for the formation energy from raw total energies is -1573 meV/atom. The calculation puts the mass density at 9.2 g/cm3.

POSCAR file:
```
Pm3Dy2ThN6
1.0
3.098 -5.362 0.000
3.098 5.362 0.000
-2.064 0.000 5.851
Pm Dy Th N
3 2 1 6
Cartesian
0.000 0.000 0.000
3.098 1.808 0.000
3.098 -1.808 0.000
2.066 3.581 2.926
2.066 -3.581 2.926
2.066 0.000 2.926
1.033 1.787 1.516
0.002 0.000 4.322
1.033 -1.787 1.516
3.099 1.787 4.335
4.131 0.000 1.529
3.099 -1.787 4.335
```


No. 2
First-principles (PBE-GGA) data for a relaxed CdRhSe3 crystal, as listed in Alexandria via LeMat-Bulk.

Summary:
The energy comes out at -3.506 eV per atom. The value obtained for the formation energy from raw total energies is 238 meV/atom. The value obtained for the excess energy over the best structure of this formula in the dataset is 0.00 eV per formula unit. The calculation puts the mass density at 6.2 g/cm3.

POSCAR file:
```
CdRhSe3
1.0
4.936 0.000 0.000
0.000 4.936 0.000
0.000 0.000 4.936
Cd Rh Se
1 1 3
Cartesian
0.000 0.000 0.000
2.468 2.468 2.468
0.000 2.468 2.468
2.468 0.000 2.468
2.468 2.468 0.000
```


The records above yield DOS at the Fermi energy values of 2.9 7.3 states/eV/f.u., respectively.